Entry 1:
# BaCa2ZnPd

Crystalline BaCa2ZnPd at its relaxed geometry (PBE-GGA, the Alexandria database).

Cell: 5.586 5.586 6.140 Å, 90.00 90.00 90.00°
Sites, in units of the cell vectors:
Ba1 0.000 0.000 0.500
Ca1 0.500 0.000 0.000
Ca2 0.000 0.500 0.000
Zn1 0.500 0.500 0.500
Pd1 0.000 0.000 0.000

Calculated values
distance to the lowest polymorph of the same formula	69	meV/atom
space-group type	P4/mmm

=====

Entry 2:
# Tb6HoTmSc2

Crystalline Tb6HoTmSc2 at its relaxed geometry (PBE-GGA, the Alexandria database).

Cell: 9.370 8.620 8.620 Å, 117.61 93.95 93.95°
Sites, in units of the cell vectors:
Sc1 0.547 0.196 0.300
Tb1 0.818 0.437 0.982
Sc2 0.047 0.300 0.196
Tb2 0.182 0.563 0.018
Tb3 0.053 0.116 0.758
Ho1 0.750 0.593 0.407
Sc3 0.453 0.804 0.700
Tb4 0.318 0.982 0.437
Tb5 0.682 0.018 0.563
Tb6 0.618 0.496 0.703
Tm1 0.250 0.973 0.027
Ho2 0.250 0.407 0.593
Tb7 0.947 0.884 0.242
Tb8 0.447 0.242 0.884
Sc4 0.953 0.700 0.804
Tm2 0.750 0.027 0.973
Tb9 0.382 0.504 0.297
Tb10 0.882 0.297 0.504
Tb11 0.118 0.703 0.496
Tb12 0.553 0.758 0.116

Calculated values
calculated total energy	-4.824	eV/atom
space-group type	C2/c

=====

Entry 3:
# Be3CrCd

Crystalline Be3CrCd at its relaxed geometry (PBE-GGA, the Alexandria database).

Cell: 4.254 4.254 4.254 Å, 90.00 90.00 90.00°
Last column: magnetic moment on the atom in μB.
Sites, in units of the cell vectors:
Be1 0.000 0.000 0.500  -0.02
Be2 0.500 0.000 0.000  0.00
Cr1 0.500 0.500 0.500  0.13
Cd1 0.000 0.000 0.000  -0.01
Be3 0.000 0.500 0.000  0.00

Calculated values
distance to the lowest polymorph of the same formula	435	meV/atom
space-group type	Pm-3m

=====

Number 1: calculated volume 191.6 Å³/cell. Number 2: calculated volume 611.5 Å³/cell. Number 3: calculated volume 77.0 Å³/cell.